Computed, not measured: TlIrCl3 after structural relaxation at the GGA-PBE level of DFT.

It has space group Pm-3m (No. 221), with a = 5.3822 Å, b = 5.3822 Å, c = 5.3822 Å, α = 90.00°, β = 90.00° and γ = 90.00°. The asymmetric unit holds Tl at (0.0000, 0.0000, 0.0000), Ir at (0.5000, 0.5000, 0.5000) and Cl at (0.0000, 0.0000, 0.5000).

Its total energy is -2.548 eV per atom. The magnetization is 3.631 μB per formula unit. The energy above the lowest structure with this stoichiometry comes out at 5.639 eV/f.u. For the formation energy from raw total energies, the calculation gives 0.81 eV per atom.